The following is a DFT calculation (PBE-GGA) of an optimized crystal structure of Ti5Nb5Ge6.

DFT formation energy: -582 meV per atom
Distance to the lowest polymorph of the same formula: 0.0 meV per atom
D(E_F): 0.86 states/eV per atom

a = 5.2036 Å, b = 13.4897 Å, c = 7.5165 Å
α = 90.00°, β = 90.00°, γ = 90.00°
Space group Amm2 (No. 38)
Symmetry-distinct sites (fractional):
1 Ti 0.0000 0.0000 0.0000 x2
2 Ti 0.2484 0.1662 0.2793 x8
3 Nb 0.0000 0.1271 0.6458 x4
4 Nb 0.5000 0.0000 0.5747 x2
5 Nb 0.5000 0.1224 0.9004 x4
6 Ge 0.0000 0.0000 0.3740 x2
7 Ge 0.0000 0.1946 0.9743 x4
8 Ge 0.5000 0.0000 0.1801 x2
9 Ge 0.5000 0.2005 0.5788 x4